Entry 1:
First-principles (PBE) data for a relaxed structure of Be2TlBr, as listed in the Alexandria database.

The structure in CIF format:
```
data_Be2TlBr
_space_group_name_H-M_alt 'P 4 m m'
_space_group_IT_number 99
_space_group_name_Hall 'P 4 -2'
_cell_length_a 3.3053
_cell_length_b 3.3053
_cell_length_c 7.8015
_cell_angle_alpha 90.00
_cell_angle_beta 90.00
_cell_angle_gamma 90.00
loop_
_atom_site_label
_atom_site_fract_x
_atom_site_fract_y
_atom_site_fract_z
_atom_site_occupancy
Be1 0.0000 0.0000 0.0000 1
Be2 0.5000 0.5000 0.0647 1
Tl1 0.5000 0.5000 0.7311 1
Br1 0.0000 0.0000 0.2798 1
```

volume	21.31	Å³/atom
formation energy from raw total energies	381	meV per atom
density	5890	kg/m3
DFT total energy	-2.491	eV/atom

=====

Entry 2:
First-principles (PBE) data for a relaxed structure of Nd2AlGe4Au3, as listed in the Alexandria database.

The structure in CIF format:
```
data_Nd2AlGe4Au3
_space_group_name_H-M_alt 'P -4 m 2'
_space_group_IT_number 115
_space_group_name_Hall 'P -4 -2'
_cell_length_a 4.3473
_cell_length_b 4.3473
_cell_length_c 11.0686
_cell_angle_alpha 90.00
_cell_angle_beta 90.00
_cell_angle_gamma 90.00
loop_
_atom_site_label
_atom_site_fract_x
_atom_site_fract_y
_atom_site_fract_z
_atom_site_occupancy
Nd1 0.0000 0.5000 0.2450 1
Al1 0.5000 0.5000 0.0000 1
Ge1 0.0000 0.0000 0.5000 1
Ge2 0.0000 0.5000 0.8640 1
Ge3 0.5000 0.5000 0.5000 1
Au1 0.0000 0.0000 0.0000 1
Au2 0.0000 0.5000 0.6385 1
```

ΔE_f	-49	kJ per mole of atoms
volume	20.92	Å³/atom
density	9501	kg/m3
DFT total energy	-4.664	eV/atom

=====

Entry 3:
First-principles (PBE) data for a relaxed structure of Tb3Si2Pt6, as listed in the Alexandria database.

The structure in CIF format:
```
data_Tb3Si2Pt6
_space_group_name_H-M_alt 'I m -3 m'
_space_group_IT_number 229
_space_group_name_Hall '-I 4 2 3'
_cell_length_a 9.4072
_cell_length_b 9.4072
_cell_length_c 9.4072
_cell_angle_alpha 90.00
_cell_angle_beta 90.00
_cell_angle_gamma 90.00
loop_
_atom_site_label
_atom_site_fract_x
_atom_site_fract_y
_atom_site_fract_z
_atom_site_occupancy
Tb1 0.0000 0.0000 0.2892 1
Si1 0.2500 0.2500 0.2500 1
Pt1 0.0000 0.3198 0.3198 1
```

volume	18.92	Å³/atom
formation energy from raw total energies	-1052	meV per atom
density	13591	kg/m3
DFT total energy	-6.596	eV/atom

=====

Entry 4:
First-principles (PBE) data for a relaxed structure of Y2TcPtPb, as listed in the Alexandria database.

The structure in CIF format:
```
data_Y2TcPtPb
_space_group_name_H-M_alt 'P 4/m m m'
_space_group_IT_number 123
_space_group_name_Hall '-P 4 2'
_cell_length_a 5.3664
_cell_length_b 5.3664
_cell_length_c 5.1130
_cell_angle_alpha 90.00
_cell_angle_beta 90.00
_cell_angle_gamma 90.00
loop_
_atom_site_label
_atom_site_fract_x
_atom_site_fract_y
_atom_site_fract_z
_atom_site_occupancy
Y1 0.0000 0.5000 0.0000 1
Tc1 0.0000 0.0000 0.5000 1
Pt1 0.5000 0.5000 0.0000 1
Pb1 0.5000 0.5000 0.5000 1
```

ΔE_f	44	kJ per mole of atoms
volume	29.45	Å³/atom
density	7647	kg/m3
DFT total energy	-6.157	eV/atom

=====

Entry 5:
First-principles (PBE) data for a relaxed structure of NpHO4, as listed in the Alexandria database.

The structure in CIF format:
```
data_NpHO4
_space_group_name_H-M_alt 'P 1 21/c 1'
_space_group_IT_number 14
_space_group_name_Hall '-P 2ybc'
_cell_length_a 8.4375
_cell_length_b 5.9893
_cell_length_c 8.3052
_cell_angle_alpha 90.00
_cell_angle_beta 95.48
_cell_angle_gamma 90.00
loop_
_atom_site_label
_atom_site_fract_x
_atom_site_fract_y
_atom_site_fract_z
_atom_site_occupancy
Np1 0.1772 0.2441 0.2661 1
H1 0.4663 0.9996 0.2786 1
O1 0.0128 0.0315 0.2614 1
O2 0.1688 0.2304 0.0161 1
O3 0.3307 0.0436 0.7681 1
O4 0.3521 0.0030 0.2965 1
```

volume	17.41	Å³/atom
density	4801	kg/m3
DFT total energy	-8.052	eV/atom

=====

Entry 6:
First-principles (PBE) data for a relaxed structure of NaBiSe, as listed in the Alexandria database.

The structure in CIF format:
```
data_NaBiSe
_space_group_name_H-M_alt 'P c c a'
_space_group_IT_number 54
_space_group_name_Hall '-P 2a 2ac'
_cell_length_a 6.6990
_cell_length_b 8.0467
_cell_length_c 6.8601
_cell_angle_alpha 90.00
_cell_angle_beta 90.00
_cell_angle_gamma 90.00
loop_
_atom_site_label
_atom_site_fract_x
_atom_site_fract_y
_atom_site_fract_z
_atom_site_occupancy
Na1 0.2500 0.0000 0.9999 1
Bi1 0.2500 0.5000 0.2491 1
Se1 0.0000 0.1963 0.2500 1
```

volume	30.82	Å³/atom
formation energy from raw total energies	-558	meV per atom
density	5585	kg/m3
DFT total energy	-3.453	eV/atom

=====

Entry 7:
First-principles (PBE) data for a relaxed structure of SiAgBr2, as listed in the Alexandria database.

The structure in CIF format:
```
data_SiAgBr2
_space_group_name_H-M_alt 'P m m m'
_space_group_IT_number 47
_space_group_name_Hall '-P 2 2'
_cell_length_a 3.8576
_cell_length_b 4.0252
_cell_length_c 7.4859
_cell_angle_alpha 90.00
_cell_angle_beta 90.00
_cell_angle_gamma 90.00
loop_
_atom_site_label
_atom_site_fract_x
_atom_site_fract_y
_atom_site_fract_z
_atom_site_occupancy
Si1 0.0000 0.0000 0.0000 1
Ag1 0.5000 0.0000 0.5000 1
Br1 0.0000 0.5000 0.5000 1
Br2 0.5000 0.5000 0.0000 1
```

volume	29.06	Å³/atom
formation energy from raw total energies	262	meV per atom
density	4225	kg/m3
DFT total energy	-2.643	eV/atom

=====

Entry 8:
First-principles (PBE) data for a relaxed structure of SrPd2Au2, as listed in the Alexandria database.

The structure in CIF format:
```
data_SrPd2Au2
_space_group_name_H-M_alt 'I 4/m m m'
_space_group_IT_number 139
_space_group_name_Hall '-I 4 2'
_cell_length_a 4.1827
_cell_length_b 4.1827
_cell_length_c 24.8879
_cell_angle_alpha 90.00
_cell_angle_beta 90.00
_cell_angle_gamma 90.00
loop_
_atom_site_label
_atom_site_fract_x
_atom_site_fract_y
_atom_site_fract_z
_atom_site_occupancy
Sr1 0.0000 0.0000 0.1251 1
Pd1 0.0000 0.0000 0.3227 1
Pd2 0.0000 0.5000 0.0000 1
Au1 0.0000 0.0000 0.4283 1
Au2 0.0000 0.5000 0.2500 1
```

ΔE_f	-38	kJ per mole of atoms
volume	21.77	Å³/atom
density	10593	kg/m3
DFT total energy	-4.121	eV/atom

=====

Entry 9:
First-principles (PBE) data for a relaxed structure of Tm8InTe6, as listed in the Alexandria database.

The structure in CIF format:
```
data_Tm8InTe6
_space_group_name_H-M_alt 'P -3'
_space_group_IT_number 147
_space_group_name_Hall '-P 3'
_cell_length_a 11.3008
_cell_length_b 11.3008
_cell_length_c 4.0435
_cell_angle_alpha 90.00
_cell_angle_beta 90.00
_cell_angle_gamma 120.00
loop_
_atom_site_label
_atom_site_fract_x
_atom_site_fract_y
_atom_site_fract_z
_atom_site_occupancy
Tm1 0.0285 0.7520 0.2568 1
Tm2 0.3333 0.6667 0.7434 1
In1 0.0000 0.0000 0.0000 1
Te1 0.1287 0.4700 0.2411 1
```

volume	29.81	Å³/atom
formation energy from raw total energies	-818	meV per atom
density	8287	kg/m3
DFT total energy	-4.642	eV/atom

=====

Entry 10:
First-principles (PBE) data for a relaxed structure of Li2BHBr, as listed in the Alexandria database.

The structure in CIF format:
```
data_Li2BHBr
_space_group_name_H-M_alt 'P 4/m m m'
_space_group_IT_number 123
_space_group_name_Hall '-P 4 2'
_cell_length_a 4.7182
_cell_length_b 4.7182
_cell_length_c 3.2195
_cell_angle_alpha 90.00
_cell_angle_beta 90.00
_cell_angle_gamma 90.00
loop_
_atom_site_label
_atom_site_fract_x
_atom_site_fract_y
_atom_site_fract_z
_atom_site_occupancy
Li1 0.0000 0.5000 0.0000 1
B1 0.0000 0.0000 0.0000 1
H1 0.0000 0.0000 0.5000 1
Br1 0.5000 0.5000 0.5000 1
```

volume	14.33	Å³/atom
density	2447	kg/m3
DFT total energy	-2.902	eV/atom

=====

Entry 11:
First-principles (PBE) data for a relaxed structure of DyHoPb, as listed in the Alexandria database.

The structure in CIF format:
```
data_DyHoPb
_space_group_name_H-M_alt 'P 4/n m m'
_space_group_IT_number 129
_cell_length_a 4.5538
_cell_length_b 4.5538
_cell_length_c 8.5478
_cell_angle_alpha 90.00
_cell_angle_beta 90.00
_cell_angle_gamma 90.00
loop_
_space_group_symop_operation_xyz
'x,y,z'
'-x,-y,-z'
'-y+1/2,x,z'
'y+1/2,-x,-z'
'-x+1/2,-y+1/2,z'
'x+1/2,y+1/2,-z'
'y,-x+1/2,z'
'-y,x+1/2,-z'
'x+1/2,-y,-z'
'-x+1/2,y,z'
'-y,-x,-z'
'y,x,z'
'-x,y+1/2,-z'
'x,-y+1/2,z'
'y+1/2,x+1/2,-z'
'-y+1/2,-x+1/2,z'
loop_
_atom_site_label
_atom_site_fract_x
_atom_site_fract_y
_atom_site_fract_z
_atom_site_occupancy
Dy1 0.2500 0.2500 0.1587 1
Ho1 0.2500 0.7500 0.5000 1
Pb1 0.2500 0.2500 0.7846 1
```

ΔE_f	-40	kJ per mole of atoms
volume	29.54	Å³/atom
density	10017	kg/m3
DFT total energy	-4.711	eV/atom

=====

Entry 12:
First-principles (PBE) data for a relaxed structure of CsKNa2Hg, as listed in the Alexandria database.

The structure in CIF format:
```
data_CsKNa2Hg
_space_group_name_H-M_alt 'P 4/m m m'
_space_group_IT_number 123
_space_group_name_Hall '-P 4 2'
_cell_length_a 6.2918
_cell_length_b 6.2918
_cell_length_c 6.6702
_cell_angle_alpha 90.00
_cell_angle_beta 90.00
_cell_angle_gamma 90.00
loop_
_atom_site_label
_atom_site_fract_x
_atom_site_fract_y
_atom_site_fract_z
_atom_site_occupancy
Cs1 0.0000 0.0000 0.0000 1
K1 0.5000 0.5000 0.0000 1
Na1 0.0000 0.5000 0.5000 1
Hg1 0.5000 0.5000 0.5000 1
```

ΔE_f	-5	kJ per mole of atoms
volume	52.81	Å³/atom
density	2632	kg/m3
DFT total energy	-1.034	eV/atom